Cd2HgGeTe4 after structural relaxation. Source: the Alexandria database, functional PBE.

- DFT total energy: -0.193 Ry per atom
- E_form (uncorrected): -217 meV per atom
- Total magnetic moment: 0.00 μB/atom

Unit cell a=9.4397 b=9.4643 c=13.2933 alpha=90.00 beta=90.00 gamma=90.00
Space group Fmm2 (No. 42)
One atom of each set of equivalent atoms:
Cd1 0.2500 0.2500 0.0000
Hg1 0.0000 0.0000 0.2501
Ge1 0.0000 0.0000 0.7501
Te1 0.0000 0.2476 0.3763
Te2 0.2480 0.0000 0.1233

***

CsCl after structural relaxation. Source: the Alexandria database, functional PBE.

- DFT total energy: -0.237 Ry per atom
- DOS(E_F): 0.000 states/eV per cell
- E_form (uncorrected): -1875 meV per atom
- Total magnetic moment: 0.03 μB/atom

Unit cell a=9.5681 b=9.5681 c=9.5681 alpha=90.00 beta=90.00 gamma=90.00
Space group Pm-3n (No. 223)
One atom of each set of equivalent atoms:
Cs1 0.0000 0.2500 0.5000
Cl1 0.0000 0.5000 0.2500

***

KIrRh2C after structural relaxation. Source: the Alexandria database, functional PBE.

- DFT total energy: -0.419 Ry per atom
- DOS(E_F): 5.380 states/eV per cell
- Total magnetic moment: 0.08 μB/atom

Unit cell a=4.0358 b=4.0358 c=4.8743 alpha=90.00 beta=90.00 gamma=90.00
Space group P4/mmm (No. 123)
One atom of each set of equivalent atoms:
K1 0.0000 0.0000 0.0000
Ir1 0.5000 0.5000 0.0000
Rh1 0.0000 0.5000 0.5000
C1 0.0000 0.0000 0.5000

***

ScInTe2 after structural relaxation. Source: the Alexandria database, functional PBE.

- DFT total energy: -0.334 Ry per atom
- DOS(E_F): 1.398 states/eV per cell
- E_form (uncorrected): -703 meV per atom
- Total magnetic moment: 0.00 μB/atom

Unit cell a=4.4666 b=4.1660 c=11.7700 alpha=90.00 beta=90.00 gamma=90.00
Space group Amm2 (No. 38)
One atom of each set of equivalent atoms:
Sc1 0.0000 0.0000 0.0000
In1 0.5000 0.0000 0.8202
Te1 0.0000 0.0000 0.3048
Te2 0.5000 0.0000 0.5744

***

Sr2Cu2Pt after structural relaxation. Source: the Alexandria database, functional PBE.

- DFT total energy: -0.277 Ry per atom
- Energy above the most stable polymorph in this dataset: 56 kJ/mol of formula units
- DOS(E_F): 3.698 states/eV per cell
- Total magnetic moment: 0.00 μB/atom

Unit cell a=3.6194 b=3.6194 c=17.9315 alpha=90.00 beta=90.00 gamma=90.00
Space group I4/mmm (No. 139)
One atom of each set of equivalent atoms:
Sr1 0.0000 0.0000 0.1023
Cu1 0.0000 0.5000 0.2500
Pt1 0.0000 0.0000 0.5000

***

TbGdHoOs after structural relaxation. Source: the Alexandria database, functional PBE.

- DFT total energy: -0.623 Ry per atom
- DOS(E_F): 19.456 states/eV per cell
- Total magnetic moment: 1.84 μB/atom

Unit cell a=7.2581 b=7.2581 c=7.2581 alpha=90.00 beta=90.00 gamma=90.00
Space group F-43m (No. 216)
One atom of each set of equivalent atoms:
Tb1 0.0000 0.0000 0.0000
Gd1 0.0000 0.0000 0.5000
Ho1 0.2500 0.2500 0.2500
Os1 0.2500 0.2500 0.7500

***

PtCl5 after structural relaxation. Source: the Alexandria database, functional PBE.

- DFT total energy: -0.193 Ry per atom
- Energy above the most stable polymorph in this dataset: 0 kJ/mol of formula units
- DOS(E_F): 16.705 states/eV per cell
- E_form (uncorrected): -75 meV per atom
- Total magnetic moment: 0.00 μB/atom

Unit cell a=13.1055 b=3.4109 c=10.2115 alpha=90.00 beta=120.69 gamma=90.00
Space group C2/m (No. 12)
One atom of each set of equivalent atoms:
Pt1 0.0000 0.0000 0.0000
Cl1 0.0000 0.0000 0.5000
Cl2 0.0447 0.5000 0.8851
Cl3 0.1877 0.0000 0.6912

***

Ce2Y3Bi3 after structural relaxation. Source: the Alexandria database, functional PBE.

- DFT total energy: -0.445 Ry per atom
- DOS(E_F): 30.175 states/eV per cell
- Total magnetic moment: 0.31 μB/atom

Unit cell a=9.3840 b=9.3840 c=6.3260 alpha=90.00 beta=90.00 gamma=120.00
Space group P6_3/mcm (No. 193)
One atom of each set of equivalent atoms:
Ce1 0.3333 0.6667 0.0000
Y1 0.0000 0.2491 0.2500
Bi1 0.0000 0.3806 0.7500